#1
Entry from Alexandria via LeMat-Bulk: crystalline FeCoAs4 at its relaxed geometry (PBE).

```
FeCoAs4
1.0
-1.083 -2.517 -1.150
4.156 -2.623 1.830
-2.909 -1.074 5.089
As Fe Co
4 1 1
direct
0.000 0.182 0.639 As
0.500 0.683 0.863 As
0.500 0.317 0.137 As
0.000 0.818 0.361 As
0.000 0.000 0.000 Fe
0.500 0.500 0.500 Co
```

Properties
The space-group type is No. 10.



#2
Entry from Alexandria via LeMat-Bulk: crystalline FeCoAs4 at its relaxed geometry (PBE).

```
FeCoAs4
1.0
0.000 3.807 3.807
3.807 0.000 3.807
3.807 3.807 0.000
Fe As Co
1 4 1
direct
0.000 0.000 0.000 Fe
0.874 0.375 0.375 As
0.375 0.375 0.375 As
0.375 0.874 0.375 As
0.375 0.375 0.874 As
0.750 0.750 0.750 Co
```

Properties
The space-group type is No. 216.



#1 ends up most stable, edging out the next structure by 113.8 kJ/mol of atoms.



#1
Entry from Alexandria via LeMat-Bulk: crystalline Ga3CoAs at its relaxed geometry (PBE).

```
Ga3CoAs
1.0
-2.568 -0.859 3.671
-0.338 -4.371 -1.259
3.755 -0.981 2.397
As Ga Co
1 3 1
direct
0.500 0.500 0.500 As
0.000 0.500 0.000 Ga
0.000 0.000 0.500 Ga
0.500 0.000 0.000 Ga
0.000 0.000 0.000 Co
```

Properties
The space-group type is No. 221.



#2
Entry from Alexandria via LeMat-Bulk: crystalline Ga3CoAs at its relaxed geometry (PBE).

```
Ga3CoAs
1.0
-0.234 4.686 1.602
-4.898 -0.457 0.620
0.734 -1.554 4.651
Ga Co As
3 1 1
direct
0.000 0.500 0.000 Ga
0.500 0.000 0.000 Ga
0.000 0.000 0.500 Ga
0.500 0.500 0.500 Co
0.000 0.000 0.000 As
```

Properties
The space-group type is No. 221.



#1 ends up most stable, edging out the next structure by 74.3 kJ/mol of atoms.



#1
Entry from Alexandria via LeMat-Bulk: crystalline GaCoAs2Se at its relaxed geometry (PBE).

```
GaCoAs2Se
1.0
-3.386 0.335 -2.850
-2.294 -2.965 2.376
-2.086 3.973 2.945
Ga As Se Co
1 2 1 1
direct
0.500 0.500 0.500 Ga
0.000 0.500 0.000 As
0.500 0.000 0.000 As
0.000 0.000 0.500 Se
0.000 0.000 0.000 Co
```

Properties
The space-group type is No. 123.



#2
Entry from Alexandria via LeMat-Bulk: crystalline GaCoAs2Se at its relaxed geometry (PBE).

```
GaCoAs2Se
1.0
-1.067 -0.835 -4.643
4.717 -0.261 -1.037
-0.074 -4.916 0.901
Ga Se Co As
1 1 1 2
direct
0.000 0.000 0.000 Ga
0.000 0.000 0.500 Se
0.500 0.500 0.500 Co
0.500 0.000 0.000 As
0.000 0.500 0.000 As
```

Properties
The space-group type is No. 123.



#1 ends up most stable, edging out the next structure by 75.4 kJ/mol of atoms.



#1
Entry from Alexandria via LeMat-Bulk: crystalline CoGe3As at its relaxed geometry (PBE).

```
CoGe3As
1.0
-2.754 0.038 -4.117
-0.358 -4.937 0.194
-4.102 0.406 2.747
Ge Co As
3 1 1
direct
0.000 0.500 0.000 Ge
0.500 0.000 0.000 Ge
0.000 0.000 0.500 Ge
0.500 0.500 0.500 Co
0.000 0.000 0.000 As
```

Properties
The space-group type is No. 221.



#2
Entry from Alexandria via LeMat-Bulk: crystalline CoGe3As at its relaxed geometry (PBE).

```
CoGe3As
1.0
-3.556 -1.859 2.146
2.667 -1.009 3.545
-0.973 4.028 1.879
As Ge Co
1 3 1
direct
0.500 0.500 0.500 As
0.500 0.000 0.000 Ge
0.000 0.000 0.500 Ge
0.000 0.500 0.000 Ge
0.000 0.000 0.000 Co
```

Properties
The space-group type is No. 221.



#2 ends up most stable, edging out the next structure by 103.5 kJ/mol of atoms.